Below is BeNbGe after structural relaxation, with properties calculated at the GGA-PBE level.

E (eV per atom): -6.3190
V (Å³ per atom): 14.30
Formation energy from the elements (eV per atom): -0.181

abc: 6.4866 6.4866 3.7312
angles: 90.00 90.00 146.87
Atoms (fractional coordinates):
Be  0.0000  0.0000  0.0000
Be  0.5000  0.5000  0.5000
Nb  0.1388  0.8612  0.5000
Nb  0.8612  0.1388  0.5000
Ge  0.3394  0.6606  0.0000
Ge  0.6606  0.3394  0.0000

***

Below is BeNb3Ge after structural relaxation, with properties calculated at the GGA-PBE level.

E (eV per atom): -7.3348
V (Å³ per atom): 17.03
Energy above the lowest structure with this stoichiometry (eV per formula unit): 0.00
Formation energy from the elements (eV per atom): 0.376

abc: 4.3998 4.3998 4.3998
angles: 90.00 90.00 90.00
Atoms (fractional coordinates):
Be  0.0000  0.0000  0.0000
Nb  0.0000  0.0000  0.5000
Nb  0.0000  0.5000  0.0000
Nb  0.5000  0.0000  0.0000
Ge  0.5000  0.5000  0.5000

***

Below is Be2NbGe after structural relaxation, with properties calculated at the GGA-PBE level.

E (eV per atom): -5.6655
V (Å³ per atom): 12.61
Formation energy from the elements (eV per atom): -0.131

abc: 3.7537 3.7537 3.5788
angles: 90.00 90.00 90.00
Atoms (fractional coordinates):
Be  0.0000  0.5000  0.0000
Be  0.5000  0.0000  0.0000
Nb  0.0000  0.0000  0.5000
Ge  0.5000  0.5000  0.5000

***

Below is BeNbGe after structural relaxation, with properties calculated at the GGA-PBE level.

E (eV per atom): -6.2840
V (Å³ per atom): 14.55
Formation energy from the elements (eV per atom): -0.146

abc: 6.8893 6.8893 3.5745
angles: 90.00 90.00 149.03
Atoms (fractional coordinates):
Be  0.0470  0.9530  0.7500
Be  0.9530  0.0470  0.2500
Nb  0.4091  0.5909  0.7500
Nb  0.5909  0.4091  0.2500
Ge  0.2511  0.7489  0.2500
Ge  0.7489  0.2511  0.7500

***

Below is Be3Nb3Ge after structural relaxation, with properties calculated at the GGA-PBE level.

E (eV per atom): -6.8501
V (Å³ per atom): 13.52
Formation energy from the elements (eV per atom): -0.278

abc: 5.0276 5.0276 12.1388
angles: 108.20 108.20 40.88
Atoms (fractional coordinates):
Be  0.0214  0.0214  0.2157
Be  0.0985  0.0985  0.0732
Be  0.1183  0.1183  0.5399
Be  0.8817  0.8817  0.4601
Be  0.9015  0.9015  0.9268
Be  0.9786  0.9786  0.7843
Nb  0.2544  0.2544  0.7816
Nb  0.3783  0.3783  0.0721
Nb  0.4923  0.4923  0.6314
Nb  0.5077  0.5077  0.3686
Nb  0.6217  0.6217  0.9279
Nb  0.7456  0.7456  0.2184
Ge  0.2288  0.2288  0.3816
Ge  0.7712  0.7712  0.6184

***

Below is Be2NbGeO after structural relaxation, with properties calculated at the GGA-PBE level.

E (eV per atom): -4.5964
V (Å³ per atom): 15.63
Energy above the lowest structure with this stoichiometry (eV per formula unit): 0.00
Energy relative to the elements, uncorrected (eV/atom): 0.82

abc: 3.8743 3.8743 5.2060
angles: 90.00 90.00 90.00
Atoms (fractional coordinates):
Be  0.0000  0.5000  0.0000
Be  0.5000  0.0000  0.0000
Nb  0.0000  0.0000  0.5000
Ge  0.0000  0.0000  0.0000
O  0.5000  0.5000  0.5000

***

Below is Be2NbGeO after structural relaxation, with properties calculated at the GGA-PBE level.

E (eV per atom): -3.7293
V (Å³ per atom): 21.13
Energy above the lowest structure with this stoichiometry (eV per formula unit): 4.34
Energy relative to the elements, uncorrected (eV/atom): 1.69

abc: 4.5855 4.5855 5.0248
angles: 90.00 90.00 90.00
Atoms (fractional coordinates):
Be  0.0000  0.5000  0.0000
Be  0.5000  0.0000  0.0000
Nb  0.0000  0.0000  0.0000
Ge  0.0000  0.0000  0.5000
O  0.5000  0.5000  0.5000

***

Below is BeNb2GeOs after structural relaxation, with properties calculated at the GGA-PBE level.

E (eV per atom): -7.3800
V (Å³ per atom): 15.54
Formation energy from the elements (eV per atom): 0.563

abc: 4.4624 4.4624 3.9030
angles: 90.00 90.00 90.00
Atoms (fractional coordinates):
Be  0.0000  0.0000  0.0000
Nb  0.0000  0.5000  0.0000
Nb  0.5000  0.0000  0.0000
Ge  0.0000  0.0000  0.5000
Os  0.5000  0.5000  0.5000

***

Below is PaBe2NbGe2 after structural relaxation, with properties calculated at the GGA-PBE level.

E (eV per atom): -6.4130
V (Å³ per atom): 15.79
Formation energy from the elements (eV per atom): -0.371

abc: 3.8131 3.8131 7.5248
angles: 90.00 90.00 120.00
Atoms (fractional coordinates):
Pa  0.0000  0.0000  0.0000
Be  0.3333  0.6667  0.7182
Be  0.6667  0.3333  0.2818
Nb  0.0000  0.0000  0.5000
Ge  0.3333  0.6667  0.2691
Ge  0.6667  0.3333  0.7309

***

Below is BeNb2GeS after structural relaxation, with properties calculated at the GGA-PBE level.

E (eV per atom): -5.7665
V (Å³ per atom): 19.93
Energy relative to the elements, uncorrected (eV/atom): 0.76

abc: 4.5587 4.5587 4.7945
angles: 90.00 90.00 90.00
Atoms (fractional coordinates):
Be  0.0000  0.0000  0.0000
Nb  0.0000  0.5000  0.5000
Nb  0.5000  0.0000  0.5000
Ge  0.5000  0.5000  0.0000
S  0.5000  0.5000  0.5000

***

Below is Ta2Be4Nb2Ge after structural relaxation, with properties calculated at the GGA-PBE level.

E (eV per atom): -6.7027
V (Å³ per atom): 14.85
Formation energy from the elements (eV per atom): 0.338

abc: 5.8627 5.8627 5.8627
angles: 123.68 123.68 83.74
Atoms (fractional coordinates):
Ta  0.2215  0.2215  0.0000
Ta  0.7785  0.7785  0.0000
Be  0.2096  0.2096  0.4191
Be  0.2096  0.7904  0.0000
Be  0.7904  0.2096  0.0000
Be  0.7904  0.7904  0.5809
Nb  0.2500  0.7500  0.5000
Nb  0.7500  0.2500  0.5000
Ge  0.5000  0.5000  0.0000

***

Below is Zr2BeNbGe after structural relaxation, with properties calculated at the GGA-PBE level.

E (eV per atom): -6.9545
V (Å³ per atom): 19.15
Formation energy from the elements (eV per atom): 0.147

abc: 4.6555 4.6555 4.4176
angles: 90.00 90.00 90.00
Atoms (fractional coordinates):
Zr  0.0000  0.5000  0.0000
Zr  0.5000  0.0000  0.0000
Be  0.0000  0.0000  0.0000
Nb  0.0000  0.0000  0.5000
Ge  0.5000  0.5000  0.5000

***

Below is Nd3Be2Ge4 after structural relaxation, with properties calculated at the GGA-PBE level.

E (eV per atom): -5.0573
V (Å³ per atom): 20.32
Formation energy from the elements (eV per atom): -0.588

abc: 5.9405 5.9405 8.4705
angles: 107.72 107.72 40.28
Atoms (fractional coordinates):
Nd  0.0000  0.0000  0.0000
Nd  0.3816  0.3816  0.3139
Nd  0.6184  0.6184  0.6861
Be  0.3135  0.3135  0.6605
Be  0.6865  0.6865  0.3395
Ge  0.1121  0.1121  0.3965
Ge  0.2840  0.2840  0.9301
Ge  0.7160  0.7160  0.0699
Ge  0.8879  0.8879  0.6035

***

Below is Nd2Be2Ge3 after structural relaxation, with properties calculated at the GGA-PBE level.

E (eV per atom): -4.8830
V (Å³ per atom): 19.32
Formation energy from the elements (eV per atom): -0.477

abc: 9.8378 9.8378 7.0019
angles: 90.00 90.00 156.48
Atoms (fractional coordinates):
Nd  0.0445  0.9555  0.7500
Nd  0.1749  0.8251  0.2500
Nd  0.8251  0.1749  0.7500
Nd  0.9555  0.0445  0.2500
Be  0.3388  0.6612  0.1002
Be  0.3388  0.6612  0.3998
Be  0.6612  0.3388  0.6002
Be  0.6612  0.3388  0.8998
Ge  0.2036  0.7964  0.7500
Ge  0.4350  0.5650  0.5731
Ge  0.4350  0.5650  0.9269
Ge  0.5650  0.4350  0.0731
Ge  0.5650  0.4350  0.4269
Ge  0.7964  0.2036  0.2500

***

Below is Nd2BeNi6Ge after structural relaxation, with properties calculated at the GGA-PBE level.

E (eV per atom): -5.4176
V (Å³ per atom): 15.91
Formation energy from the elements (eV per atom): -0.161

abc: 6.0818 6.0818 6.0818
angles: 60.00 60.00 60.00
Atoms (fractional coordinates):
Nd  0.2500  0.2500  0.2500
Nd  0.7500  0.7500  0.7500
Be  0.0000  0.0000  0.0000
Ni  0.2337  0.2337  0.7663
Ni  0.2337  0.7663  0.2337
Ni  0.2337  0.7663  0.7663
Ni  0.7663  0.2337  0.2337
Ni  0.7663  0.2337  0.7663
Ni  0.7663  0.7663  0.2337
Ge  0.5000  0.5000  0.5000

***

Below is Nd2Be3NiGe4 after structural relaxation, with properties calculated at the GGA-PBE level.

E (eV per atom): -4.9592
V (Å³ per atom): 16.45
Formation energy from the elements (eV per atom): -0.463

abc: 4.0861 4.0861 9.8512
angles: 90.00 90.00 90.00
Atoms (fractional coordinates):
Nd  0.0000  0.5000  0.2442
Nd  0.5000  0.0000  0.7558
Be  0.0000  0.0000  0.0000
Be  0.0000  0.5000  0.6335
Be  0.5000  0.0000  0.3665
Ni  0.5000  0.5000  0.0000
Ge  0.0000  0.0000  0.5000
Ge  0.0000  0.5000  0.8701
Ge  0.5000  0.0000  0.1299
Ge  0.5000  0.5000  0.5000

***

Below is Nd2Be4Ge3Os after structural relaxation, with properties calculated at the GGA-PBE level.

E (eV per atom): -5.2963
V (Å³ per atom): 15.85
Formation energy from the elements (eV per atom): -0.344

abc: 3.9552 3.9552 10.1305
angles: 90.00 90.00 90.00
Atoms (fractional coordinates):
Nd  0.0000  0.5000  0.2486
Nd  0.5000  0.0000  0.7514
Be  0.0000  0.0000  0.0000
Be  0.0000  0.5000  0.6279
Be  0.5000  0.0000  0.3721
Be  0.5000  0.5000  0.0000
Ge  0.0000  0.5000  0.8695
Ge  0.5000  0.0000  0.1305
Ge  0.5000  0.5000  0.5000
Os  0.0000  0.0000  0.5000

***

Below is Nd3Be2GePd9 after structural relaxation, with properties calculated at the GGA-PBE level.

E (eV per atom): -5.5217
V (Å³ per atom): 18.43
Formation energy from the elements (eV per atom): -0.648

abc: 5.9658 5.9658 8.9667
angles: 90.00 90.00 120.00
Atoms (fractional coordinates):
Nd  0.0000  0.0000  0.0000
Nd  0.3333  0.6667  0.6492
Nd  0.6667  0.3333  0.3508
Be  0.3333  0.6667  0.1503
Be  0.6667  0.3333  0.8497
Ge  0.0000  0.0000  0.5000
Pd  0.0000  0.5000  0.0000
Pd  0.1638  0.3276  0.2938
Pd  0.1638  0.8362  0.2938
Pd  0.3276  0.1638  0.7062
Pd  0.5000  0.0000  0.0000
Pd  0.5000  0.5000  0.0000
Pd  0.6724  0.8362  0.2938
Pd  0.8362  0.1638  0.7062
Pd  0.8362  0.6724  0.7062

***

Below is Nd3BeGe6Pd2 after structural relaxation, with properties calculated at the GGA-PBE level.

E (eV per atom): -5.0433
V (Å³ per atom): 20.87
Formation energy from the elements (eV per atom): -0.367

abc: 5.9009 5.9009 8.3046
angles: 90.00 90.00 120.00
Atoms (fractional coordinates):
Nd  0.0000  0.0000  0.0000
Nd  0.3333  0.6667  0.6243
Nd  0.6667  0.3333  0.3757
Be  0.0000  0.0000  0.5000
Ge  0.1825  0.3651  0.2900
Ge  0.1825  0.8175  0.2900
Ge  0.3651  0.1825  0.7100
Ge  0.6349  0.8175  0.2900
Ge  0.8175  0.1825  0.7100
Ge  0.8175  0.6349  0.7100
Pd  0.3333  0.6667  0.0349
Pd  0.6667  0.3333  0.9651

***

Below is Nd2Be4Ge3Pd after structural relaxation, with properties calculated at the GGA-PBE level.

E (eV per atom): -4.8453
V (Å³ per atom): 16.03
Formation energy from the elements (eV per atom): -0.497

abc: 4.0202 4.0202 9.9170
angles: 90.00 90.00 90.00
Atoms (fractional coordinates):
Nd  0.0000  0.5000  0.2457
Nd  0.5000  0.0000  0.7543
Be  0.0000  0.0000  0.0000
Be  0.0000  0.5000  0.6288
Be  0.5000  0.0000  0.3712
Be  0.5000  0.5000  0.0000
Ge  0.0000  0.5000  0.8684
Ge  0.5000  0.0000  0.1316
Ge  0.5000  0.5000  0.5000
Pd  0.0000  0.0000  0.5000

***

Below is NdBe2GePd2 after structural relaxation, with properties calculated at the GGA-PBE level.

E (eV per atom): -4.7513
V (Å³ per atom): 16.99
Formation energy from the elements (eV per atom): -0.214

abc: 4.2051 4.2051 5.7651
angles: 90.00 90.00 90.00
Atoms (fractional coordinates):
Nd  0.0000  0.0000  0.0000
Be  0.0000  0.5000  0.5000
Be  0.5000  0.0000  0.5000
Ge  0.0000  0.0000  0.5000
Pd  0.5000  0.5000  0.2519
Pd  0.5000  0.5000  0.7481

***

Below is Nd2BeGe4Pt3 after structural relaxation, with properties calculated at the GGA-PBE level.

E (eV per atom): -5.7880
V (Å³ per atom): 18.90
Formation energy from the elements (eV per atom): -0.803

abc: 4.2956 4.2956 10.2413
angles: 90.00 90.00 90.00
Atoms (fractional coordinates):
Nd  0.0000  0.5000  0.2446
Nd  0.5000  0.0000  0.7554
Be  0.5000  0.5000  0.0000
Ge  0.0000  0.0000  0.5000
Ge  0.0000  0.5000  0.8718
Ge  0.5000  0.0000  0.1282
Ge  0.5000  0.5000  0.5000
Pt  0.0000  0.0000  0.0000
Pt  0.0000  0.5000  0.6286
Pt  0.5000  0.0000  0.3714

***

Below is Nd2Be3Ge4Pt after structural relaxation, with properties calculated at the GGA-PBE level.

E (eV per atom): -5.0326
V (Å³ per atom): 17.11
Formation energy from the elements (eV per atom): -0.510

abc: 4.1258 4.1258 10.0538
angles: 90.00 90.00 90.00
Atoms (fractional coordinates):
Nd  0.0000  0.5000  0.2502
Nd  0.5000  0.0000  0.7498
Be  0.0000  0.0000  0.0000
Be  0.0000  0.5000  0.6294
Be  0.5000  0.0000  0.3706
Ge  0.0000  0.0000  0.5000
Ge  0.0000  0.5000  0.8577
Ge  0.5000  0.0000  0.1423
Ge  0.5000  0.5000  0.5000
Pt  0.5000  0.5000  0.0000